## Y2TmNi (GGA-PBE)

Data for a relaxed structure of Y2TmNi.

a b c (Å): 6.3317 6.8279 9.5757
angles (deg): 90.00 90.00 90.00
Fractional positions:
1 Y 0.1799 0.6798 0.0658
2 Y 0.3201 0.1798 0.4342
3 Y 0.8201 0.3202 0.5658
4 Y 0.6799 0.8202 0.9342
5 Y 0.8201 0.3202 0.9342
6 Y 0.6799 0.8202 0.5658
7 Y 0.1799 0.6798 0.4342
8 Y 0.3201 0.1798 0.0658
9 Tm 0.6417 0.5361 0.2500
10 Tm 0.8583 0.0361 0.2500
11 Tm 0.3583 0.4639 0.7500
12 Tm 0.1417 0.9639 0.7500
13 Ni 0.0441 0.3908 0.2500
14 Ni 0.4559 0.8908 0.2500
15 Ni 0.9559 0.6092 0.7500
16 Ni 0.5441 0.1092 0.7500

Offset from the most stable computed form   0.000 eV per atom
N(E_F)   1.116 states/eV/atom
E_form   -249 meV per atom